# Y6Fe2Sn, optimized geometry, DFT PBE
data_Y6Fe2Sn
_chemical_formula_sum 'Y12 Fe4 Sn2'
_space_group_name_H-M_alt 'P 1'
_space_group_IT_number 1
_cell_length_a 8.427
_cell_length_b 8.427
_cell_length_c 8.427
_cell_angle_alpha 106.93
_cell_angle_beta 111.95
_cell_angle_gamma 109.58
loop_
_space_group_symop_operation_xyz
'x,y,z'
loop_
_atom_site_label
_atom_site_type_symbol
_atom_site_fract_x
_atom_site_fract_y
_atom_site_fract_z
Y1 Y 0.315 0.329 0.644
Fe1 Fe 0.333 0.333 0.000
Y2 Y 0.206 0.968 0.762
Y3 Y 0.315 0.671 0.985
Fe2 Fe 0.500 0.108 0.608
Y4 Y 0.206 0.444 0.238
Y5 Y 0.685 0.671 0.356
Y6 Y 0.535 0.816 0.719
Y7 Y 0.465 0.184 0.281
Sn1 Sn 0.000 0.000 0.000
Fe3 Fe 0.500 0.892 0.392
Y8 Y 0.685 0.329 0.015
Y9 Y 0.794 0.032 0.238
Y10 Y 0.903 0.184 0.719
Y11 Y 0.794 0.556 0.762
Sn2 Sn 0.000 0.500 0.500
Fe4 Fe 0.667 0.667 0.000
Y12 Y 0.097 0.816 0.281
# D(E_F)	19.3	states/eV/cell
# energy of formation	-0.213	eV/atom
# DFT total energy	-6.848	eV per atom



# Zn2FeSn2, optimized geometry, DFT PBE
data_Zn2FeSn2
_chemical_formula_sum 'Zn4 Fe2 Sn4'
_space_group_name_H-M_alt 'P 1'
_space_group_IT_number 1
_cell_length_a 6.998
_cell_length_b 6.998
_cell_length_c 4.117
_cell_angle_alpha 90.00
_cell_angle_beta 90.00
_cell_angle_gamma 90.00
loop_
_space_group_symop_operation_xyz
'x,y,z'
loop_
_atom_site_label
_atom_site_type_symbol
_atom_site_fract_x
_atom_site_fract_y
_atom_site_fract_z
Sn1 Sn 0.833 0.667 0.000
Fe1 Fe 0.000 0.000 0.000
Zn1 Zn 0.860 0.360 0.500
Zn2 Zn 0.140 0.640 0.500
Sn2 Sn 0.333 0.833 0.000
Zn3 Zn 0.360 0.140 0.500
Sn3 Sn 0.167 0.333 0.000
Sn4 Sn 0.667 0.167 0.000
Fe2 Fe 0.500 0.500 0.000
Zn4 Zn 0.640 0.860 0.500
# D(E_F)	5.9	states/eV/cell
# energy of formation	0.346	eV/atom
# DFT total energy	-3.457	eV per atom



# ZnFeSn, optimized geometry, DFT PBE
data_ZnFeSn
_chemical_formula_sum 'Zn2 Fe2 Sn2'
_space_group_name_H-M_alt 'P 1'
_space_group_IT_number 1
_cell_length_a 4.655
_cell_length_b 3.285
_cell_length_c 8.915
_cell_angle_alpha 90.00
_cell_angle_beta 90.00
_cell_angle_gamma 135.12
loop_
_space_group_symop_operation_xyz
'x,y,z'
loop_
_atom_site_label
_atom_site_type_symbol
_atom_site_fract_x
_atom_site_fract_y
_atom_site_fract_z
Sn1 Sn 0.694 0.389 0.670
Zn1 Zn 0.194 0.389 0.137
Sn2 Sn 0.694 0.389 0.330
Fe1 Fe 0.194 0.389 0.500
Zn2 Zn 0.194 0.389 0.863
Fe2 Fe 0.694 0.389 0.000
# D(E_F)	5.2	states/eV/cell
# energy of formation	0.223	eV/atom
# DFT total energy	-4.357	eV per atom



# ZnFe2Sn, optimized geometry, DFT PBE
data_ZnFe2Sn
_chemical_formula_sum 'Zn2 Fe4 Sn2'
_space_group_name_H-M_alt 'P 1'
_space_group_IT_number 1
_cell_length_a 6.965
_cell_length_b 6.965
_cell_length_c 5.598
_cell_angle_alpha 51.53
_cell_angle_beta 51.53
_cell_angle_gamma 90.00
loop_
_space_group_symop_operation_xyz
'x,y,z'
loop_
_atom_site_label
_atom_site_type_symbol
_atom_site_fract_x
_atom_site_fract_y
_atom_site_fract_z
Zn1 Zn 0.500 0.500 0.000
Sn1 Sn 0.750 0.250 0.500
Zn2 Zn 0.250 0.750 0.500
Fe1 Fe 0.607 0.125 0.250
Fe2 Fe 0.375 0.393 0.750
Fe3 Fe 0.875 0.857 0.750
Sn2 Sn 0.000 0.000 0.000
Fe4 Fe 0.143 0.625 0.250
# D(E_F)	7.0	states/eV/cell
# energy of formation	0.474	eV/atom
# DFT total energy	-5.076	eV per atom



# Zn2Fe2Sn, optimized geometry, DFT PBE
data_Zn2Fe2Sn
_chemical_formula_sum 'Zn4 Fe4 Sn2'
_space_group_name_H-M_alt 'P 1'
_space_group_IT_number 1
_cell_length_a 6.684
_cell_length_b 6.684
_cell_length_c 3.425
_cell_angle_alpha 90.00
_cell_angle_beta 90.00
_cell_angle_gamma 90.00
loop_
_space_group_symop_operation_xyz
'x,y,z'
loop_
_atom_site_label
_atom_site_type_symbol
_atom_site_fract_x
_atom_site_fract_y
_atom_site_fract_z
Zn1 Zn 0.662 0.838 0.500
Fe1 Fe 0.126 0.374 0.000
Zn2 Zn 0.338 0.162 0.500
Sn1 Sn 0.000 0.000 0.000
Fe2 Fe 0.874 0.626 0.000
Zn3 Zn 0.162 0.662 0.500
Fe3 Fe 0.374 0.874 0.000
Zn4 Zn 0.838 0.338 0.500
Fe4 Fe 0.626 0.126 0.000
Sn2 Sn 0.500 0.500 0.000
# D(E_F)	5.1	states/eV/cell
# energy of formation	0.180	eV/atom
# DFT total energy	-4.515	eV per atom



# ZnFeSn3, optimized geometry, DFT PBE
data_ZnFeSn3
_chemical_formula_sum 'Zn1 Fe1 Sn3'
_space_group_name_H-M_alt 'P 1'
_space_group_IT_number 1
_cell_length_a 5.123
_cell_length_b 5.123
_cell_length_c 5.123
_cell_angle_alpha 90.00
_cell_angle_beta 90.00
_cell_angle_gamma 90.00
loop_
_space_group_symop_operation_xyz
'x,y,z'
loop_
_atom_site_label
_atom_site_type_symbol
_atom_site_fract_x
_atom_site_fract_y
_atom_site_fract_z
Zn1 Zn 0.000 0.000 0.000
Fe1 Fe 0.500 0.500 0.500
Sn1 Sn 0.000 0.500 0.000
Sn2 Sn 0.500 0.000 0.000
Sn3 Sn 0.000 0.000 0.500
# D(E_F)	7.7	states/eV/cell
# energy of formation	0.897	eV/atom
# DFT total energy	-3.452	eV per atom
# ΔE to the lowest computed polymorph	673.0	meV/atom



# ZnFeSn2, optimized geometry, DFT PBE
data_ZnFeSn2
_chemical_formula_sum 'Zn1 Fe1 Sn2'
_space_group_name_H-M_alt 'P 1'
_space_group_IT_number 1
_cell_length_a 3.295
_cell_length_b 3.295
_cell_length_c 9.173
_cell_angle_alpha 79.65
_cell_angle_beta 79.65
_cell_angle_gamma 60.00
loop_
_space_group_symop_operation_xyz
'x,y,z'
loop_
_atom_site_label
_atom_site_type_symbol
_atom_site_fract_x
_atom_site_fract_y
_atom_site_fract_z
Zn1 Zn 0.000 0.000 0.000
Sn1 Sn 0.902 0.902 0.294
Sn2 Sn 0.098 0.098 0.706
Fe1 Fe 0.500 0.500 0.500
# D(E_F)	2.7	states/eV/cell
# energy of formation	0.227	eV/atom
# DFT total energy	-4.208	eV per atom



# ZnFeSn3, optimized geometry, DFT PBE
data_ZnFeSn3
_chemical_formula_sum 'Zn1 Fe1 Sn3'
_space_group_name_H-M_alt 'P 1'
_space_group_IT_number 1
_cell_length_a 4.915
_cell_length_b 4.915
_cell_length_c 4.915
_cell_angle_alpha 90.00
_cell_angle_beta 90.00
_cell_angle_gamma 90.00
loop_
_space_group_symop_operation_xyz
'x,y,z'
loop_
_atom_site_label
_atom_site_type_symbol
_atom_site_fract_x
_atom_site_fract_y
_atom_site_fract_z
Sn1 Sn 0.500 0.000 0.000
Sn2 Sn 0.000 0.500 0.000
Sn3 Sn 0.000 0.000 0.500
Fe1 Fe 0.000 0.000 0.000
Zn1 Zn 0.500 0.500 0.500
# D(E_F)	5.2	states/eV/cell
# energy of formation	0.224	eV/atom
# DFT total energy	-4.125	eV per atom
# ΔE to the lowest computed polymorph	0.0	meV/atom



# ZnFeSn2, optimized geometry, DFT PBE
data_ZnFeSn2
_chemical_formula_sum 'Zn2 Fe2 Sn4'
_space_group_name_H-M_alt 'P 1'
_space_group_IT_number 1
_cell_length_a 4.427
_cell_length_b 4.427
_cell_length_c 9.359
_cell_angle_alpha 76.32
_cell_angle_beta 76.32
_cell_angle_gamma 90.00
loop_
_space_group_symop_operation_xyz
'x,y,z'
loop_
_atom_site_label
_atom_site_type_symbol
_atom_site_fract_x
_atom_site_fract_y
_atom_site_fract_z
Sn1 Sn 0.141 0.625 0.250
Fe1 Fe 0.250 0.750 0.500
Sn2 Sn 0.609 0.125 0.250
Sn3 Sn 0.875 0.859 0.750
Fe2 Fe 0.500 0.500 0.000
Zn1 Zn 0.750 0.250 0.500
Zn2 Zn 0.000 0.000 0.000
Sn4 Sn 0.375 0.391 0.750
# D(E_F)	7.4	states/eV/cell
# energy of formation	0.393	eV/atom
# DFT total energy	-4.042	eV per atom



# Zn2FeSn, optimized geometry, DFT PBE
data_Zn2FeSn
_chemical_formula_sum 'Zn4 Fe2 Sn2'
_space_group_name_H-M_alt 'P 1'
_space_group_IT_number 1
_cell_length_a 7.481
_cell_length_b 7.481
_cell_length_c 5.873
_cell_angle_alpha 50.44
_cell_angle_beta 50.44
_cell_angle_gamma 90.00
loop_
_space_group_symop_operation_xyz
'x,y,z'
loop_
_atom_site_label
_atom_site_type_symbol
_atom_site_fract_x
_atom_site_fract_y
_atom_site_fract_z
Sn1 Sn 0.750 0.250 0.500
Fe1 Fe 0.500 0.500 0.000
Zn1 Zn 0.166 0.625 0.250
Fe2 Fe 0.250 0.750 0.500
Sn2 Sn 0.000 0.000 0.000
Zn2 Zn 0.375 0.416 0.750
Zn3 Zn 0.875 0.834 0.750
Zn4 Zn 0.584 0.125 0.250
# D(E_F)	1.5	states/eV/cell
# energy of formation	0.361	eV/atom
# DFT total energy	-3.393	eV per atom



# ZnFeSn, optimized geometry, DFT PBE
data_ZnFeSn
_chemical_formula_sum 'Zn1 Fe1 Sn1'
_space_group_name_H-M_alt 'P 1'
_space_group_IT_number 1
_cell_length_a 3.118
_cell_length_b 4.327
_cell_length_c 4.327
_cell_angle_alpha 120.00
_cell_angle_beta 90.00
_cell_angle_gamma 90.00
loop_
_space_group_symop_operation_xyz
'x,y,z'
loop_
_atom_site_label
_atom_site_type_symbol
_atom_site_fract_x
_atom_site_fract_y
_atom_site_fract_z
Fe1 Fe 0.167 0.333 0.667
Zn1 Zn 0.167 0.000 0.000
Sn1 Sn 0.666 0.667 0.333
# D(E_F)	3.3	states/eV/cell
# energy of formation	0.327	eV/atom
# DFT total energy	-4.253	eV per atom